1.
Density functional theory data (PBE-GGA) for crystalline NaSr3Au at its relaxed geometry.

Output
Energy of formation from the pure elements, eV per atom: -0.326
Distance to the lowest polymorph of the same formula, eV per formula unit: 0.00

```
data_NaSr3Au
_chemical_formula_sum 'Na1 Sr3 Au1'
_space_group_name_H-M_alt 'P m -3 m'
_space_group_IT_number 221
_space_group_name_Hall '-P 4 2 3'
_cell_length_a 6.1659
_cell_length_b 6.1659
_cell_length_c 6.1659
_cell_angle_alpha 90.00
_cell_angle_beta 90.00
_cell_angle_gamma 90.00
loop_
_atom_site_label
_atom_site_type_symbol
_atom_site_fract_x
_atom_site_fract_y
_atom_site_fract_z
Na1 Na 0.0000 0.0000 0.0000
Sr1 Sr 0.0000 0.5000 0.5000
Au1 Au 0.5000 0.5000 0.5000
```

***

2.
Density functional theory data (PBE-GGA) for crystalline Na2SrAu2 at its relaxed geometry.

Output
Energy of formation from the pure elements, eV per atom: -0.430
Distance to the lowest polymorph of the same formula, eV per formula unit: 0.16

```
data_Na2SrAu2
_chemical_formula_sum 'Na8 Sr4 Au8'
_space_group_name_H-M_alt 'I m m a'
_space_group_IT_number 74
_space_group_name_Hall '-I 2b 2'
_cell_length_a 4.2451
_cell_length_b 4.6653
_cell_length_c 28.5218
_cell_angle_alpha 90.00
_cell_angle_beta 90.00
_cell_angle_gamma 90.00
loop_
_atom_site_label
_atom_site_type_symbol
_atom_site_fract_x
_atom_site_fract_y
_atom_site_fract_z
Na1 Na 0.0000 0.2500 0.1912
Na2 Na 0.0000 0.2500 0.6976
Sr1 Sr 0.0000 0.2500 0.4318
Au1 Au 0.0000 0.2500 0.8768
Au2 Au 0.0000 0.2500 0.9736
```

***

3.
Density functional theory data (PBE-GGA) for crystalline NaSrAu at its relaxed geometry.

Output
Energy of formation from the pure elements, eV per atom: -0.374
Distance to the lowest polymorph of the same formula, eV per formula unit: 0.26

```
data_NaSrAu
_chemical_formula_sum 'Na2 Sr2 Au2'
_space_group_name_H-M_alt 'I 4 m m'
_space_group_IT_number 107
_space_group_name_Hall 'I 4 -2'
_cell_length_a 3.9617
_cell_length_b 3.9617
_cell_length_c 11.5064
_cell_angle_alpha 90.00
_cell_angle_beta 90.00
_cell_angle_gamma 90.00
loop_
_atom_site_label
_atom_site_type_symbol
_atom_site_fract_x
_atom_site_fract_y
_atom_site_fract_z
Na1 Na 0.0000 0.0000 0.0000
Sr1 Sr 0.0000 0.0000 0.2815
Au1 Au 0.0000 0.0000 0.6384
```

***

4.
Density functional theory data (PBE-GGA) for crystalline NaSr4Au2 at its relaxed geometry.

Output
Energy of formation from the pure elements, eV per atom: -0.441

```
data_NaSr4Au2
_chemical_formula_sum 'Na4 Sr16 Au8'
_space_group_name_H-M_alt 'C m c m'
_space_group_IT_number 63
_space_group_name_Hall '-C 2c 2'
_cell_length_a 4.6582
_cell_length_b 15.2544
_cell_length_c 16.0517
_cell_angle_alpha 90.00
_cell_angle_beta 90.00
_cell_angle_gamma 90.00
loop_
_atom_site_label
_atom_site_type_symbol
_atom_site_fract_x
_atom_site_fract_y
_atom_site_fract_z
Na1 Na 0.0000 0.1158 0.2500
Sr1 Sr 0.0000 0.0000 0.0000
Sr2 Sr 0.0000 0.2625 0.6046
Sr3 Sr 0.0000 0.4204 0.2500
Au1 Au 0.0000 0.3699 0.0621
```